No. 1
Computed, not measured: an optimized crystal structure of HgPb2Br at the PBE level of DFT.

Structure (POSCAR):
```
HgPb2Br
1.0
3.660 0.000 0.000
0.000 3.660 0.000
0.000 0.000 8.675
Hg Pb Br
1 2 1
direct
0.500 0.500 0.750
0.000 0.000 0.517
0.000 0.000 0.983
0.500 0.500 0.250
```

Computed properties:
**V**: 29.05 A^3/atom
**Relative energy among the computed polymorphs**: 15 kJ/mol of formula units

No. 2
Computed, not measured: an optimized crystal structure of KPtBr at the PBE level of DFT.

Structure (POSCAR):
```
KPtBr
1.0
7.355 -0.866 0.702
4.889 3.762 -0.057
2.466 -1.704 4.369
Br K Pt
1 1 1
direct
0.054 0.054 0.946
0.333 0.333 0.667
0.613 0.613 0.387
```

Computed properties:
**V**: 42.15 A^3/atom
**Relative energy among the computed polymorphs**: 134 kJ/mol of formula units

No. 3
Computed, not measured: an optimized crystal structure of Tl2Cd2O3 at the PBE level of DFT.

Structure (POSCAR):
```
Tl2Cd2O3
1.0
-0.764 -0.469 3.243
3.642 -4.340 -1.493
5.914 4.629 0.448
O Tl Cd
3 2 2
direct
0.840 0.498 0.194
0.000 0.000 0.000
0.160 0.502 0.806
0.722 0.760 0.661
0.278 0.240 0.339
0.405 0.733 0.082
0.595 0.267 0.918
```

Computed properties:
**Calculated total energy**: -3.8283 eV per atom
**V**: 19.86 A^3/atom

No. 4
Computed, not measured: an optimized crystal structure of CaTeSeF at the PBE level of DFT.

Structure (POSCAR):
```
CaTeSeF
1.0
-1.322 -0.786 4.290
3.060 -2.202 0.539
6.874 9.579 0.108
F Ca Se Te
2 2 2 2
direct
0.421 0.500 0.068
0.421 0.000 0.568
0.642 0.500 0.562
0.642 0.000 0.062
0.650 0.500 0.826
0.650 0.000 0.326
0.124 0.000 0.801
0.124 0.500 0.301
```

Computed properties:
**V**: 24.40 A^3/atom
**Relative energy among the computed polymorphs**: 7 kJ/mol of formula units

No. 5
Computed, not measured: an optimized crystal structure of EuGaAgBi at the PBE level of DFT.

Structure (POSCAR):
```
EuGaAgBi
1.0
-4.293 -3.031 0.118
0.016 -4.473 2.761
-2.832 -0.375 4.413
Ag Ga Eu Bi
1 1 1 1
direct
0.250 0.250 0.250
0.000 0.000 0.000
0.750 0.750 0.750
0.500 0.500 0.500
```

Computed properties:
**V**: 25.68 A^3/atom
**Calculated formation energy**: -0.247 eV per atom

No. 6
Computed, not measured: an optimized crystal structure of SmY2Er6Tm3 at the PBE level of DFT.

Structure (POSCAR):
```
SmY2Er6Tm3
1.0
6.098 0.003 0.008
-3.045 5.283 0.008
-1.029 -1.781 11.496
Er Y Sm Tm
6 2 1 3
direct
0.915 0.582 0.747
0.752 0.752 0.253
0.248 0.248 0.747
0.582 0.915 0.747
0.418 0.085 0.253
0.085 0.418 0.253
0.667 0.333 0.000
0.333 0.667 0.000
0.000 0.000 0.000
0.500 0.500 0.500
0.833 0.167 0.500
0.167 0.833 0.500
```

Computed properties:
**V**: 30.89 A^3/atom
**Calculated formation energy**: 0.025 eV per atom

No. 7
Computed, not measured: an optimized crystal structure of Y2Al3Ga3B8O24 at the PBE level of DFT.

Structure (POSCAR):
```
Y2Al3Ga3B8O24
1.0
-2.512 4.586 -2.907
-3.521 -0.793 4.799
8.373 5.702 5.046
O B Al Ga Y
24 8 3 3 2
direct
0.822 0.973 0.318
0.031 0.782 0.813
0.236 0.635 0.611
0.865 0.261 0.897
0.533 0.288 0.312
0.391 0.097 0.754
0.958 0.365 0.450
0.277 0.118 0.484
0.141 0.552 0.042
0.154 0.339 0.251
0.532 0.675 0.171
0.892 0.599 0.252
0.654 0.837 0.755
0.452 0.863 0.954
0.882 0.724 0.515
0.327 0.474 0.826
0.766 0.613 0.986
0.639 0.043 0.547
0.214 0.974 0.182
0.033 0.181 0.679
0.709 0.471 0.683
0.735 0.139 0.109
0.367 0.761 0.394
0.386 0.235 0.013
0.307 0.198 0.249
0.917 0.474 0.973
0.527 0.085 0.027
0.029 0.580 0.528
0.421 0.972 0.473
0.803 0.694 0.751
0.252 0.252 0.753
0.749 0.750 0.247
0.446 0.555 0.999
0.330 0.775 0.779
0.830 0.277 0.275
0.722 0.172 0.726
0.224 0.672 0.223
0.949 0.051 0.499
0.999 0.997 0.999
0.498 0.499 0.499
```

Computed properties:
**Calculated total energy**: -7.7332 eV per atom
**V**: 9.59 A^3/atom

No. 8
Computed, not measured: an optimized crystal structure of CrFeAg2 at the PBE level of DFT.

Structure (POSCAR):
```
CrFeAg2
1.0
9.408 0.012 0.007
8.986 2.785 0.007
8.986 1.367 2.427
Fe Ag Cr
1 2 1
direct
0.750 0.750 0.750
0.499 0.499 0.499
0.001 0.001 0.001
0.250 0.250 0.250
```

Computed properties:
**V**: 15.78 A^3/atom
**Calculated formation energy**: 0.578 eV per atom
**Relative energy among the computed polymorphs**: 97 kJ/mol of formula units